DFT (PBE-GGA) results for crystalline ZnHgTeO at its relaxed geometry.

abc: 6.9004 7.7054 6.7416
angles: 90.00 90.00 90.00
Space group Pca2_1 (No. 29)
Symmetry-distinct sites (fractional):
Zn 0.0394 0.1737 0.0000 x4
Hg 0.1115 0.6156 0.8971 x4
Te 0.0922 0.1365 0.6129 x4
O 0.0860 0.6084 0.5604 x4

Output
The calculation puts the excess energy over the best structure of this formula in the dataset at 0.1826 eV/atom. As for the calculated total energy: -45.30 eV/cell.